# Zr2AlCl, optimized geometry, DFT GGA-PBE
# formation energy (no corrections)	-0.064	eV per atom
# volume	20.4	A^3/atom
# final energy	-45.9	eV for the cell shown
data_Zr2AlCl
_chemical_formula_sum 'Zr4 Al2 Cl2'
_cell_length_a 4.047
_cell_length_b 4.047
_cell_length_c 9.962
_cell_angle_alpha 90.00
_cell_angle_beta 90.00
_cell_angle_gamma 90.00
_space_group_name_H-M_alt 'I -4 m 2'
_space_group_IT_number 119
_space_group_name_Hall 'I -4 -2'
loop_
_atom_site_label
_atom_site_fract_x
_atom_site_fract_y
_atom_site_fract_z
_atom_site_occupancy
Zr1 0.000 0.000 0.000 1
Zr2 0.000 0.500 0.250 1
Al1 0.000 0.500 0.750 1
Cl1 0.000 0.000 0.500 1